(1)
The following is a DFT calculation (GGA-PBE) of Dy2HoMg6 after structural relaxation.

energy of formation from the pure elements: 0.4477 eV per atom
calculated volume: 286 Å³ per cell
final energy: -19.3 eV per cell

Cell lengths 8.6917, 8.6917, 8.6917 Å; angles 138.46, 138.46, 60.20 degrees
Closest atoms and distances in Å follow each position.
Fractional coordinates of all 9 atoms:
Dy 0.2080 0.2080 0.0000  1 Ho 3.13, 8 Mg 3.15-3.35
Dy 0.7920 0.7920 0.0000  1 Ho 3.13, 8 Mg 3.15-3.35
Ho 0.0000 0.0000 0.0000  2 Dy 3.13, 4 Mg 3.23
Mg 0.2362 0.5731 0.0000  3 Mg 2.94-3.27, 1 Ho 3.23
Mg 0.2500 0.7500 0.5000  4 Dy 3.15, 4 Mg 3.27
Mg 0.4269 0.4269 0.6631  3 Mg 2.94-3.27, 1 Ho 3.23
Mg 0.5731 0.2362 0.0000  3 Mg 2.94-3.27, 1 Ho 3.23
Mg 0.7500 0.2500 0.5000  4 Dy 3.15, 4 Mg 3.27
Mg 0.7638 0.7638 0.3369  3 Mg 2.94-3.27, 1 Ho 3.23

---

(2)
The following is a DFT calculation (GGA-PBE) of DyHo5Mg2 after structural relaxation.

energy of formation from the pure elements: 0.0427 eV per atom
calculated volume: 472 Å³ per cell
final energy: -60.7 eV per cell

Cell lengths 3.4414, 10.6754, 12.8495 Å; angles 90.00, 90.00, 90.00 degrees
Closest atoms and distances in Å follow each position.
Fractional coordinates of all 16 atoms:
Dy 0.0000 0.0000 0.0000  2 Dy 3.44, 4 Mg 3.55, 8 Ho 3.75
Dy 0.5000 0.5000 0.5000  2 Dy 3.44, 4 Mg 3.55, 8 Ho 3.75
Ho 0.0000 0.2307 0.3684  3 Mg 3.20-3.42, 7 Ho 3.38-3.52
Ho 0.0000 0.2307 0.6316  3 Mg 3.20-3.42, 7 Ho 3.38-3.52
Ho 0.0000 0.5000 0.0000  2 Mg 3.32, 10 Ho 3.44-3.45
Ho 0.0000 0.7693 0.3684  3 Mg 3.20-3.42, 7 Ho 3.38-3.52
Ho 0.0000 0.7693 0.6316  3 Mg 3.20-3.42, 7 Ho 3.38-3.52
Ho 0.5000 0.0000 0.5000  2 Mg 3.32, 10 Ho 3.44-3.45
Ho 0.5000 0.2693 0.1316  3 Mg 3.20-3.42, 7 Ho 3.38-3.52
Ho 0.5000 0.2693 0.8684  3 Mg 3.20-3.42, 7 Ho 3.38-3.52
Ho 0.5000 0.7307 0.1316  3 Mg 3.20-3.42, 7 Ho 3.38-3.52
Ho 0.5000 0.7307 0.8684  3 Mg 3.20-3.42, 7 Ho 3.38-3.52
Mg 0.0000 0.5000 0.2585  7 Ho 3.20-3.42, 2 Mg 3.44, 2 Dy 3.55
Mg 0.0000 0.5000 0.7415  7 Ho 3.20-3.42, 2 Mg 3.44, 2 Dy 3.55
Mg 0.5000 0.0000 0.2415  7 Ho 3.20-3.42, 2 Mg 3.44, 2 Dy 3.55
Mg 0.5000 0.0000 0.7585  7 Ho 3.20-3.42, 2 Mg 3.44, 2 Dy 3.55

---

(3)
The following is a DFT calculation (GGA-PBE) of Dy2Ho8Mg after structural relaxation.

energy of formation from the pure elements: 0.0330 eV per atom
calculated volume: 337 Å³ per cell
final energy: -47.1 eV per cell

Cell lengths 9.9812, 9.9812, 6.3901 Å; angles 94.23, 94.23, 32.10 degrees
Closest atoms and distances in Å follow each position.
Fractional coordinates of all 11 atoms:
Dy 0.2421 0.2421 0.3347  10 Ho 3.39-3.79, 2 Dy 3.47
Dy 0.7579 0.7579 0.6653  10 Ho 3.39-3.79, 2 Dy 3.47
Ho 0.0455 0.0455 0.2623  2 Mg 3.31, 7 Ho 3.51-3.69
Ho 0.1528 0.1528 0.8100  6 Ho 3.34-3.67, 4 Dy 3.58-3.65
Ho 0.3388 0.3388 0.8754  1 Mg 3.13, 2 Dy 3.39, 3 Ho 3.41-3.50
Ho 0.4205 0.4205 0.4048  1 Mg 3.10, 3 Ho 3.19-3.34, 1 Dy 3.42
Ho 0.5795 0.5795 0.5952  1 Mg 3.10, 3 Ho 3.19-3.34, 1 Dy 3.42
Ho 0.6612 0.6612 0.1246  1 Mg 3.13, 2 Dy 3.39, 3 Ho 3.41-3.50
Ho 0.8472 0.8472 0.1900  6 Ho 3.34-3.67, 4 Dy 3.58-3.65
Ho 0.9545 0.9545 0.7377  2 Mg 3.31, 7 Ho 3.51-3.69
Mg 0.5000 0.5000 0.0000  8 Ho 3.10-3.31

---

(4)
The following is a DFT calculation (GGA-PBE) of Dy3HoMg2 after structural relaxation.

energy of formation from the pure elements: -0.0373 eV per atom
calculated volume: 172 Å³ per cell
final energy: -21.8 eV per cell

Cell lengths 3.6582, 3.6582, 12.8341 Å; angles 90.00, 90.00, 90.00 degrees
Closest atoms and distances in Å follow each position.
Fractional coordinates of all 6 atoms:
Dy 0.0000 0.0000 0.0000  8 Mg 3.26
Dy 0.0000 0.0000 0.3121  4 Mg 3.29, 4 Ho 3.54, 4 Dy 3.66
Dy 0.0000 0.0000 0.6879  4 Mg 3.29, 4 Ho 3.54, 4 Dy 3.66
Ho 0.5000 0.5000 0.5000  8 Dy 3.54, 4 Ho 3.66
Mg 0.5000 0.5000 0.1540  8 Dy 3.26-3.29
Mg 0.5000 0.5000 0.8460  8 Dy 3.26-3.29